(1)
A plane-wave DFT calculation with PBE was carried out for crystalline CdRe3Ge at its relaxed geometry.

Cell: 4.8492 4.8492 4.8492 Å, 90.00 90.00 90.00°
Atoms (fractional coordinates):
Cd (0.0000, 0.0000, 0.0000)
Re (0.0000, 0.0000, 0.5000)
Re (0.0000, 0.5000, 0.0000)
Re (0.5000, 0.0000, 0.0000)
Ge (0.5000, 0.5000, 0.5000)

Values from the calculation:
Distance to the lowest polymorph of the same formula in meV/atom: 1454
Formation enthalpy at 0 K in meV/atom: 3173
Crystal system: cubic

***

(2)
A plane-wave DFT calculation with PBE was carried out for crystalline In2NiP at its relaxed geometry.

Cell: 3.7742 3.7742 19.3143 Å, 90.00 90.00 120.00°
Atoms (fractional coordinates):
In (0.0000, 0.0000, 0.2480)
In (0.0000, 0.0000, 0.7520)
In (0.3333, 0.6667, 0.4186)
In (0.3333, 0.6667, 0.9147)
In (0.6667, 0.3333, 0.0853)
In (0.6667, 0.3333, 0.5814)
Ni (0.0000, 0.0000, 0.5000)
Ni (0.3333, 0.6667, 0.1667)
Ni (0.6667, 0.3333, 0.8333)
P (0.0000, 0.0000, 0.0000)
P (0.3333, 0.6667, 0.6667)
P (0.6667, 0.3333, 0.3333)

Values from the calculation:
Formation enthalpy at 0 K in meV/atom: 180
Crystal system: trigonal

***

(3)
A plane-wave DFT calculation with PBE was carried out for crystalline CaLaY2 at its relaxed geometry.

Cell: 5.2285 5.2285 10.3766 Å, 90.00 90.00 90.00°
Atoms (fractional coordinates):
Ca (0.0000, 0.0000, 0.0000)
Ca (0.5000, 0.5000, 0.5000)
La (0.0000, 0.0000, 0.5000)
La (0.5000, 0.5000, 0.0000)
Y (0.0000, 0.5000, 0.2500)
Y (0.0000, 0.5000, 0.7500)
Y (0.5000, 0.0000, 0.2500)
Y (0.5000, 0.0000, 0.7500)

Values from the calculation:
Distance to the lowest polymorph of the same formula in meV/atom: 69
Formation enthalpy at 0 K in meV/atom: 125
Crystal system: tetragonal

***

Q: Look up the formation enthalpy at 0 K of the first one.
A: 3173 meV/atom